1.
A geometry-optimized Nd2RuO6 structure. Source: the Alexandria database, functional PBE.

Results
The polymorph energy (0 for the lowest one) comes out at 0.225 eV per atom. The formation energy (no corrections) comes out at -18.16 eV per formula unit.

Cell: 3.820 5.482 11.068 Å, 90.00 90.00 90.00°
Space group Immm (No. 71)
Asymmetric unit:
Nd (0.000, 0.000, 0.167) [4 per cell]
Ru (0.000, 0.000, 0.500) [2 per cell]
O (0.000, 0.233, 0.355) [8 per cell]
O (0.000, 0.295, 0.000) [4 per cell]

---

2.
A geometry-optimized NdRuO4 structure. Source: the Alexandria database, functional PBE.

Results
The polymorph energy (0 for the lowest one) comes out at 0.098 eV per atom. The formation energy (no corrections) comes out at -11.05 eV per formula unit.

Cell: 5.322 5.322 11.660 Å, 90.00 90.00 90.00°
Space group I4_1/a (No. 88, origin choice 2)
Asymmetric unit:
Nd (0.000, 0.250, 0.125) [4 per cell]
Ru (0.000, 0.250, 0.625) [4 per cell]
O (0.157, 0.494, 0.294) [16 per cell]

---

3.
A geometry-optimized Nd5Ru2O12 structure. Source: the Alexandria database, functional PBE.

Results
The formation energy (no corrections) comes out at -49.51 eV per formula unit.

Cell: 12.812 5.994 7.684 Å, 90.00 107.50 90.00°
Space group C2/m (No. 12)
Asymmetric unit:
Nd (0.000, 0.000, 0.000) [2 per cell]
Nd (0.190, 0.500, 0.332) [4 per cell]
Nd (0.194, 0.500, 0.858) [4 per cell]
Ru (0.000, 0.235, 0.500) [4 per cell]
O (0.000, 0.500, 0.327) [4 per cell]
O (0.001, 0.000, 0.687) [4 per cell]
O (0.155, 0.251, 0.077) [8 per cell]
O (0.160, 0.256, 0.579) [8 per cell]

---

Please write out number 1 again, unchanged.
A geometry-optimized Nd2RuO6 structure. Source: the Alexandria database, functional PBE.

Results
The polymorph energy (0 for the lowest one) comes out at 0.225 eV per atom. The formation energy (no corrections) comes out at -18.16 eV per formula unit.

Cell: 3.820 5.482 11.068 Å, 90.00 90.00 90.00°
Space group Immm (No. 71)
Asymmetric unit:
Nd (0.000, 0.000, 0.167) [4 per cell]
Ru (0.000, 0.000, 0.500) [2 per cell]
O (0.000, 0.233, 0.355) [8 per cell]
O (0.000, 0.295, 0.000) [4 per cell]

---

Repeat the third record exactly.
A geometry-optimized Nd5Ru2O12 structure. Source: the Alexandria database, functional PBE.

Results
The formation energy (no corrections) comes out at -49.51 eV per formula unit.

Cell: 12.812 5.994 7.684 Å, 90.00 107.50 90.00°
Space group C2/m (No. 12)
Asymmetric unit:
Nd (0.000, 0.000, 0.000) [2 per cell]
Nd (0.190, 0.500, 0.332) [4 per cell]
Nd (0.194, 0.500, 0.858) [4 per cell]
Ru (0.000, 0.235, 0.500) [4 per cell]
O (0.000, 0.500, 0.327) [4 per cell]
O (0.001, 0.000, 0.687) [4 per cell]
O (0.155, 0.251, 0.077) [8 per cell]
O (0.160, 0.256, 0.579) [8 per cell]